No. 1
This record from the Open Quantum Materials Database describes an optimized crystal structure of Na2Hf2In2PdPt. The functional is GGA-PBE.

Unit cell a=4.7187 b=4.7187 c=6.6781 alpha=90.00 beta=90.00 gamma=90.00
Last column: nearest neighbours and their distance in Å.
Space group P-4m2 (No. 115)
Asymmetric unit:
Na (0.0000, 0.0000, 0.0000) x1  4 Hf 2.88, 4 In 2.91
Na (0.5000, 0.5000, 0.5000) x1  4 In 2.87, 4 Hf 2.90
Hf (0.0000, 0.5000, 0.2466) x2  4 Na 2.88-2.90, 2 Pt 2.88, 2 Pd 2.90
In (0.0000, 0.5000, 0.7455) x2  2 Pd 2.87, 4 Na 2.87-2.91, 2 Pt 2.91
Pd (0.0000, 0.0000, 0.5000) x1  4 In 2.87, 4 Hf 2.90
Pt (0.5000, 0.5000, 0.0000) x1  4 Hf 2.88, 4 In 2.91

Summary:
* calculated total energy: -5.197 eV/atom
* density: 10.4 g/cm³



No. 2
This record from the Open Quantum Materials Database describes an optimized crystal structure of Na2HfScIn2Pd2. The functional is GGA-PBE.

Unit cell a=4.7570 b=4.7570 c=6.7249 alpha=90.00 beta=90.00 gamma=90.00
Last column: nearest neighbours and their distance in Å.
Space group P-4m2 (No. 115)
Asymmetric unit:
Na (0.0000, 0.5000, 0.2432) x2  2 Sc 2.89, 4 In 2.89-2.94, 2 Hf 2.94
Hf (0.0000, 0.0000, 0.5000) x1  4 Pd 2.88, 4 Na 2.94
Sc (0.5000, 0.5000, 0.0000) x1  4 Na 2.89, 4 Pd 2.95
In (0.0000, 0.0000, 0.0000) x1  4 Na 2.89, 4 Pd 2.95
In (0.5000, 0.5000, 0.5000) x1  4 Pd 2.88, 4 Na 2.94
Pd (0.0000, 0.5000, 0.7405) x2  4 In 2.88-2.95, 2 Hf 2.88, 2 Sc 2.95

Summary:
* calculated total energy: -4.617 eV/atom
* density: 7.8 g/cm³



No. 3
This record from the Open Quantum Materials Database describes an optimized crystal structure of Na2HfScIn2Pt2. The functional is GGA-PBE.

Unit cell a=4.7402 b=4.7402 c=6.7035 alpha=90.00 beta=90.00 gamma=90.00
Last column: nearest neighbours and their distance in Å.
Space group P-4m2 (No. 115)
Asymmetric unit:
Na (0.0000, 0.5000, 0.2428) x2  2 Sc 2.88, 4 In 2.88-2.93, 2 Hf 2.93
Hf (0.0000, 0.0000, 0.5000) x1  4 Pt 2.86, 4 Na 2.93
Sc (0.5000, 0.5000, 0.0000) x1  4 Na 2.88, 4 Pt 2.94
In (0.0000, 0.0000, 0.0000) x1  4 Na 2.88, 4 Pt 2.94
In (0.5000, 0.5000, 0.5000) x1  4 Pt 2.86, 4 Na 2.93
Pt (0.0000, 0.5000, 0.7396) x2  2 Hf 2.86, 4 In 2.86-2.94, 2 Sc 2.94

Summary:
* calculated total energy: -5.024 eV/atom
* density: 9.8 g/cm³



No. 4
This record from the Open Quantum Materials Database describes an optimized crystal structure of Na2HfZrIn2Pt2. The functional is GGA-PBE.

Unit cell a=4.7257 b=4.7257 c=6.6861 alpha=90.00 beta=90.00 gamma=90.00
Last column: nearest neighbours and their distance in Å.
Space group P-4m2 (No. 115)
Asymmetric unit:
Na (0.0000, 0.5000, 0.2500) x2  2 Zr 2.89, 4 In 2.89, 2 Hf 2.89
Hf (0.0000, 0.0000, 0.5000) x1  4 Pt 2.88, 4 Na 2.89
Zr (0.5000, 0.5000, 0.0000) x1  4 Na 2.89, 4 Pt 2.91
In (0.0000, 0.0000, 0.0000) x1  4 Na 2.89, 4 Pt 2.91
In (0.5000, 0.5000, 0.5000) x1  4 Pt 2.88, 4 Na 2.89
Pt (0.0000, 0.5000, 0.7459) x2  4 In 2.88-2.91, 2 Hf 2.88, 2 Zr 2.91

Summary:
* calculated total energy: -5.271 eV/atom
* density: 10.4 g/cm³



| no. | size of the total moment (μB/atom) |
| --- | --- |
| 1 | 0.00 |
| 2 | 0.00 |
| 3 | 0.00 |
| 4 | 0.00 |